Below is MnBi2H after structural relaxation, with properties calculated at the PBE level.

Cell lengths 4.6797, 4.6797, 4.6797 Å; angles 60.00, 60.00, 60.00 degrees
Last column: nearest neighbours and their distance in Å.
Positions (direct):
Mn 0.0000 0.0000 0.0000  8 Bi 2.87
Bi 0.2500 0.2500 0.2500  4 Mn 2.87, 4 H 2.87
Bi 0.7500 0.7500 0.7500  4 H 2.87, 4 Mn 2.87
H 0.5000 0.5000 0.5000  8 Bi 2.87

## Properties
magnetic moment: 0.00 μB/cell
relative energy among the computed polymorphs: 15.3 meV per atom